Compound: NbSn2Pd
Source: the Alexandria database
Functional: GGA-PBEsol
Structure: optimized geometry

Computed properties:
Crystal system ... cubic
Space group ... No. 225
E_form ... -1.87 kcal/mol of atoms
Total energy ... -0.2354 Ha/atom
Density of states at the Fermi level ... 0.5985 states/eV per atom

Cell lengths 4.720, 4.720, 4.720 Å; angles 60.00, 60.00, 60.00 degrees
Element x y z (fractional)
1 Nb 0.000 0.000 0.000
2 Sn 0.250 0.250 0.250
3 Sn 0.750 0.750 0.750
4 Pd 0.500 0.500 0.500